1.
Entry from Alexandria: MoCl after structural relaxation (PBE).

Computed properties:
Volume in Å³ per atom: 27.583
Space-group type: No. 176
Polymorph energy (0 for the lowest one) in meV per atom: 430.8
Electronic total energy in eV/f.u.: -12.64

Lattice parameters (Å, degrees): 10.835 10.835 3.255 90.00 90.00 120.00
Sites, in units of the cell vectors:
Mo: 0.015 0.431 0.250
Mo: 0.416 0.985 0.250
Mo: 0.431 0.416 0.750
Mo: 0.569 0.584 0.250
Mo: 0.584 0.015 0.750
Mo: 0.985 0.569 0.750
Cl: 0.218 0.437 0.750
Cl: 0.219 0.782 0.750
Cl: 0.437 0.219 0.250
Cl: 0.563 0.781 0.750
Cl: 0.781 0.218 0.250
Cl: 0.782 0.563 0.250



2.
Entry from Alexandria: Mo2Cl after structural relaxation (PBE).

Computed properties:
Volume in Å³ per atom: 15.821
Space-group type: No. 194
Polymorph energy (0 for the lowest one) in meV per atom: 1188.5
Electronic total energy in eV/f.u.: -20.03

Lattice parameters (Å, degrees): 4.645 4.645 5.079 90.00 90.00 120.00
Sites, in units of the cell vectors:
Mo: 0.000 0.000 0.000
Mo: 0.000 0.000 0.500
Mo: 0.333 0.667 0.250
Mo: 0.667 0.333 0.750
Cl: 0.333 0.667 0.750
Cl: 0.667 0.333 0.250



3.
Entry from Alexandria: Mo2Cl after structural relaxation (PBE).

Computed properties:
Volume in Å³ per atom: 23.648
Space-group type: No. 63
Polymorph energy (0 for the lowest one) in meV per atom: 287.4
Electronic total energy in eV/f.u.: -22.73

Lattice parameters (Å, degrees): 4.816 18.686 3.153 90.00 90.00 90.00
Sites, in units of the cell vectors:
Mo: 0.000 0.168 0.250
Mo: 0.000 0.269 0.750
Mo: 0.000 0.731 0.250
Mo: 0.000 0.832 0.750
Mo: 0.500 0.231 0.250
Mo: 0.500 0.332 0.750
Mo: 0.500 0.668 0.250
Mo: 0.500 0.769 0.750
Cl: 0.000 0.397 0.250
Cl: 0.000 0.603 0.750
Cl: 0.500 0.103 0.750
Cl: 0.500 0.897 0.250



4.
Entry from Alexandria: MoCl after structural relaxation (PBE).

Computed properties:
Volume in Å³ per atom: 19.068
Space-group type: No. 166
Polymorph energy (0 for the lowest one) in meV per atom: 241.6
Electronic total energy in eV/f.u.: -13.02

Lattice parameters (Å, degrees): 2.997 2.997 29.415 90.00 90.00 120.00
Sites, in units of the cell vectors:
Mo: 0.000 0.000 0.127
Mo: 0.000 0.000 0.873
Mo: 0.333 0.667 0.540
Mo: 0.333 0.667 0.794
Mo: 0.667 0.333 0.206
Mo: 0.667 0.333 0.460
Cl: 0.000 0.000 0.399
Cl: 0.000 0.000 0.601
Cl: 0.333 0.667 0.066
Cl: 0.333 0.667 0.267
Cl: 0.667 0.333 0.733
Cl: 0.667 0.333 0.934



5.
Entry from Alexandria: Mo2Cl after structural relaxation (PBE).

Computed properties:
Volume in Å³ per atom: 15.820
Space-group type: No. 141
Polymorph energy (0 for the lowest one) in meV per atom: 783.7
Electronic total energy in eV/f.u.: -21.24

Lattice parameters (Å, degrees): 10.178 10.178 10.178 154.87 154.87 35.83
Sites, in units of the cell vectors:
Mo: 0.122 0.372 0.750
Mo: 0.286 0.536 0.750
Mo: 0.372 0.122 0.250
Mo: 0.464 0.714 0.750
Mo: 0.536 0.286 0.250
Mo: 0.628 0.878 0.750
Mo: 0.714 0.464 0.250
Mo: 0.878 0.628 0.250
Cl: 0.055 0.805 0.250
Cl: 0.195 0.945 0.250
Cl: 0.805 0.055 0.750
Cl: 0.945 0.195 0.750



6.
Entry from Alexandria: Mo2Cl after structural relaxation (PBE).

Computed properties:
Volume in Å³ per atom: 15.422
Space-group type: No. 189
Polymorph energy (0 for the lowest one) in meV per atom: 929.1
Electronic total energy in eV/f.u.: -20.81

Lattice parameters (Å, degrees): 6.176 6.176 4.202 90.00 90.00 120.00
Sites, in units of the cell vectors:
Mo: 0.000 0.272 0.000
Mo: 0.000 0.623 0.500
Mo: 0.272 0.000 0.000
Mo: 0.377 0.377 0.500
Mo: 0.623 0.000 0.500
Mo: 0.728 0.728 0.000
Cl: 0.000 0.000 0.500
Cl: 0.333 0.667 0.000
Cl: 0.667 0.333 0.000



Number 4 is which compound?
MoCl



Which of these has the lowest electronic total energy?
number 3